# PBE Rb5ICl4, relaxed
data_Rb5ICl4
_chemical_formula_sum 'Rb10 I2 Cl8'
_space_group_name_H-M_alt 'I 4/m m m'
_space_group_IT_number 139
_space_group_name_Hall '-I 4 2'
_cell_length_a 4.897
_cell_length_b 4.897
_cell_length_c 34.262
_cell_angle_alpha 90.00
_cell_angle_beta 90.00
_cell_angle_gamma 90.00
loop_
_atom_site_label
_atom_site_type_symbol
_atom_site_fract_x
_atom_site_fract_y
_atom_site_fract_z
Rb1 Rb 0.000 0.000 0.000
Rb2 Rb 0.000 0.000 0.201
Rb3 Rb 0.000 0.000 0.394
I1 I 0.000 0.000 0.500
Cl1 Cl 0.000 0.000 0.103
Cl2 Cl 0.000 0.000 0.298
# Polymorph energy (0 for the lowest one) in meV/atom: 11.0
# Formation energy from raw total energies in eV/atom: -1.831